## Li2UWO8 (PBE+U)

Data for an optimized crystal structure of Li2UWO8.

The space group is Cmmm (No. 65) and the conventional cell measures 6.7621, 6.7771 and 6.6257 Å, with angles of 90.00, 90.00 and 90.00 degrees. The inequivalent atoms are Li at (0.0000, 0.0000, 0.2170), U at (0.0000, 0.5000, 0.5000), W at (0.0000, 0.5000, 0.0000), O at (0.0000, 0.2176, 0.0000), O at (0.0000, 0.2257, 0.5000) and O at (0.1917, 0.5000, 0.2218).

The calculation puts the volume at 12.65 Å³/atom. The value obtained for the total energy is -7.21 eV/atom. Its calculated density is 6.17 g cm⁻³.